Record 1
CsHg3Pt | Alexandria via LeMat-Bulk | PBE-GGA | optimized geometry; M_tot = 0.00 μB per formula unit; excess energy over the best structure of this formula in the dataset = 0.1806 eV per atom; VASP energy = -16.82 eV/cell; DFT formation energy = -0.1220 eV/atom
1.0
-3.1647 5.3170 -2.1557
0.4638 -2.2167 -6.1485
-8.8865 -2.5644 -3.2371
Pt Hg Cs
2 6 2
Direct
0.2500 0.7500 0.5000
0.0000 0.0000 0.0000
0.1211 0.8587 0.7577
0.7138 0.7138 0.5723
0.1413 0.8789 0.2423
0.2862 0.2862 0.4277
0.6164 0.8789 0.2423
0.1211 0.3836 0.7577
0.9102 0.4102 0.1796
0.5898 0.0898 0.8204

***

Record 2
Mg2ZnF6 | Alexandria via LeMat-Bulk | PBE-GGA | optimized geometry; M_tot = 0.00 μB per formula unit; uncorrected formation energy = -3.07 eV per atom; excess energy over the best structure of this formula in the dataset = 0.0285 eV per atom; VASP energy = -130.03 eV/cell
1.0
-2.4289 3.7411 0.0159
-4.9870 -3.2085 -6.9117
-2.5170 -1.6706 8.5913
F Zn Mg
18 3 6
Direct
0.7631 0.1086 0.5543
0.7598 0.4434 0.2217
0.7598 0.7783 0.2217
0.7598 0.7783 0.5566
0.2132 0.8849 0.7697
0.7868 0.1151 0.2303
0.2369 0.5543 0.4457
0.7631 0.4457 0.5543
0.2369 0.8914 0.4457
0.7631 0.4457 0.8914
0.2402 0.5566 0.7783
0.2132 0.2303 0.1151
0.2369 0.5543 0.1086
0.7868 0.7697 0.8849
0.7868 0.1151 0.8849
0.2402 0.2217 0.7783
0.2402 0.2217 0.4434
0.2132 0.8849 0.1151
0.5043 0.6667 0.3333
0.4957 0.3333 0.6667
0.0000 0.0000 0.0000
0.0000 0.0000 0.3396
0.0000 0.6604 0.6604
0.0000 0.0000 0.6604
0.0000 0.3396 0.0000
0.0000 0.6604 0.0000
0.0000 0.3396 0.3396

***

Record 3
KGaP2Se8 | Alexandria via LeMat-Bulk | PBE-GGA | optimized geometry; M_tot = 0.00 μB per formula unit; uncorrected formation energy = -0.19 eV per atom; VASP energy = -45.05 eV/cell
1.0
5.9259 0.0000 0.0000
2.9630 5.1320 0.0000
2.9630 1.7107 11.3504
Ga Se P K
1 8 2 1
Direct
0.0000 0.0000 0.0000
0.0938 0.3637 0.8482
0.3057 0.9062 0.1518
0.3637 0.6943 0.8482
0.6363 0.3057 0.1518
0.6943 0.0938 0.8482
0.8029 0.8029 0.5914
0.9062 0.6363 0.1518
0.1971 0.1971 0.4086
0.2602 0.2602 0.2193
0.7398 0.7398 0.7807
0.5000 0.5000 0.5000

***

Record 4
CdCuAgRh | Alexandria via LeMat-Bulk | PBE-GGA | optimized geometry; M_tot = 0.00 μB per formula unit; VASP energy = -15.03 eV/cell; DFT formation energy = 0.0466 eV/atom
1.0
4.4924 0.0000 0.0000
2.2462 3.8905 0.0000
2.2462 1.2968 3.6680
Rh Cd Cu Ag
1 1 1 1
Direct
0.2500 0.2500 0.2500
0.5000 0.5000 0.5000
0.0000 0.0000 0.0000
0.7500 0.7500 0.7500